The following is a DFT calculation (PBE) of a relaxed Li3LaAg4 crystal.

a b c (Å): 4.581 4.581 9.186
angles (deg): 75.56 75.56 60.00
Atoms (fractional coordinates):
Li 0.235 0.235 0.295
Li 0.500 0.500 0.500
Li 0.765 0.765 0.705
Ag 0.402 0.402 0.794
Ag 0.872 0.872 0.383
Ag 0.128 0.128 0.617
Ag 0.598 0.598 0.206
La 0.000 0.000 0.000

Summary:
The total energy is -23.73 eV for the cell shown. Its crystal system is trigonal.

***

The following is a DFT calculation (PBE) of a relaxed CeErPu2P4 crystal.

a b c (Å): 4.026 6.970 6.922
angles (deg): 109.60 90.00 90.00
Each line ends with the local moment (μB).
Atoms (fractional coordinates):
Er 0.000 0.000 0.000  -0.01
Ce 0.500 0.500 0.000  0.49
P 0.500 0.751 0.746  -0.10
P 0.500 0.249 0.254  -0.10
P 0.000 0.755 0.255  -0.09
P 0.000 0.245 0.745  -0.09
Pu 0.000 0.500 0.500  5.00
Pu 0.500 0.000 0.500  4.95

Summary:
The total energy is -71.63 eV for the cell shown. Its crystal system is monoclinic.

***

The following is a DFT calculation (PBE) of a relaxed HoThCu4 crystal.

a b c (Å): 5.305 5.305 5.305
angles (deg): 60.00 60.00 60.00
Atoms (fractional coordinates):
Cu 0.123 0.626 0.626
Cu 0.626 0.626 0.123
Cu 0.626 0.123 0.626
Cu 0.626 0.626 0.626
Ho 0.000 0.000 0.000
Th 0.250 0.250 0.250

Summary:
The total energy is -28.99 eV for the cell shown. Its crystal system is cubic.